(1)
MgTc2Cl: relaxed, PBE.

CIF file:
```
data_MgTc2Cl
_chemical_formula_sum 'Mg2 Tc4 Cl2'
_cell_length_a 4.9349
_cell_length_b 9.7742
_cell_length_c 2.7878
_cell_angle_alpha 90.00
_cell_angle_beta 90.00
_cell_angle_gamma 90.00
_symmetry_space_group_name_H-M 'C m m m'
_symmetry_Int_Tables_number 65
_symmetry_space_group_name_Hall '-C 2 2'
loop_
_atom_site_label
_atom_site_type_symbol
_atom_site_fract_x
_atom_site_fract_y
_atom_site_fract_z
Mg1 Mg 0.0000 0.0000 0.0000
Tc1 Tc 0.2500 0.2500 0.5000
Cl1 Cl 0.0000 0.5000 0.0000
```

Summary:
**Distance to the lowest polymorph of the same formula**: 3.52 eV per formula unit
**Raw total energy**: -42.6 eV for the cell shown
**Uncorrected formation energy**: 2.9 eV/f.u.

(2)
MgTcCl2: relaxed, PBE.

CIF file:
```
data_MgTcCl2
_chemical_formula_sum 'Mg4 Tc4 Cl8'
_cell_length_a 5.4079
_cell_length_b 5.4079
_cell_length_c 11.4658
_cell_angle_alpha 90.00
_cell_angle_beta 90.00
_cell_angle_gamma 90.00
_symmetry_space_group_name_H-M 'I -4 2 d'
_symmetry_Int_Tables_number 122
_symmetry_space_group_name_Hall 'I -4 2bw'
loop_
_atom_site_label
_atom_site_type_symbol
_atom_site_fract_x
_atom_site_fract_y
_atom_site_fract_z
Mg1 Mg 0.0000 0.0000 0.0000
Tc1 Tc 0.0000 0.0000 0.5000
Cl1 Cl 0.2493 0.2500 0.6250
```

Summary:
**Distance to the lowest polymorph of the same formula**: 2.20 eV per formula unit
**Raw total energy**: -59.7 eV for the cell shown
**Uncorrected formation energy**: 0.7 eV/f.u.

(3)
MgTc2Cl: relaxed, PBE.

CIF file:
```
data_MgTc2Cl
_chemical_formula_sum 'Mg1 Tc2 Cl1'
_cell_length_a 3.1152
_cell_length_b 5.1965
_cell_length_c 4.2529
_cell_angle_alpha 90.00
_cell_angle_beta 93.36
_cell_angle_gamma 90.00
_symmetry_space_group_name_H-M 'P 1 2/m 1'
_symmetry_Int_Tables_number 10
_symmetry_space_group_name_Hall '-P 2y'
loop_
_atom_site_label
_atom_site_type_symbol
_atom_site_fract_x
_atom_site_fract_y
_atom_site_fract_z
Mg1 Mg 0.0000 0.0000 0.0000
Tc1 Tc 0.3066 0.5000 0.2300
Cl1 Cl 0.5000 0.0000 0.5000
```

Summary:
**Distance to the lowest polymorph of the same formula**: 2.17 eV per formula unit
**Raw total energy**: -22.7 eV for the cell shown
**Uncorrected formation energy**: 1.5 eV/f.u.

(4)
Mg4TcCl: relaxed, PBE.

CIF file:
```
data_Mg4TcCl
_chemical_formula_sum 'Mg16 Tc4 Cl4'
_cell_length_a 7.8664
_cell_length_b 7.8664
_cell_length_c 7.8664
_cell_angle_alpha 90.00
_cell_angle_beta 90.00
_cell_angle_gamma 90.00
_symmetry_space_group_name_H-M 'F -4 3 m'
_symmetry_Int_Tables_number 216
_symmetry_space_group_name_Hall 'F -4 2 3'
loop_
_atom_site_label
_atom_site_type_symbol
_atom_site_fract_x
_atom_site_fract_y
_atom_site_fract_z
Mg1 Mg 0.1232 0.1232 0.1232
Tc1 Tc 0.2500 0.2500 0.7500
Cl1 Cl 0.0000 0.0000 0.5000
```

Summary:
**Raw total energy**: -62.8 eV for the cell shown
**Uncorrected formation energy**: 2.9 eV/f.u.

(5)
MgTc2Cl: relaxed, PBE.

CIF file:
```
data_MgTc2Cl
_chemical_formula_sum 'Mg1 Tc2 Cl1'
_cell_length_a 3.0252
_cell_length_b 4.2049
_cell_length_c 5.2707
_cell_angle_alpha 90.00
_cell_angle_beta 90.00
_cell_angle_gamma 90.00
_symmetry_space_group_name_H-M 'P m m m'
_symmetry_Int_Tables_number 47
_symmetry_space_group_name_Hall '-P 2 2'
loop_
_atom_site_label
_atom_site_type_symbol
_atom_site_fract_x
_atom_site_fract_y
_atom_site_fract_z
Mg1 Mg 0.0000 0.0000 0.0000
Tc1 Tc 0.0000 0.5000 0.5000
Tc2 Tc 0.5000 0.0000 0.5000
Cl1 Cl 0.5000 0.5000 0.0000
```

Summary:
**Distance to the lowest polymorph of the same formula**: 2.51 eV per formula unit
**Raw total energy**: -22.3 eV for the cell shown
**Uncorrected formation energy**: 1.8 eV/f.u.

(6)
MgTc2Cl: relaxed, PBE.

CIF file:
```
data_MgTc2Cl
_chemical_formula_sum 'Mg2 Tc4 Cl2'
_cell_length_a 3.1137
_cell_length_b 4.9638
_cell_length_c 8.6715
_cell_angle_alpha 90.00
_cell_angle_beta 90.00
_cell_angle_gamma 90.00
_symmetry_space_group_name_H-M 'C m m 2'
_symmetry_Int_Tables_number 35
_symmetry_space_group_name_Hall 'C 2 -2'
loop_
_atom_site_label
_atom_site_type_symbol
_atom_site_fract_x
_atom_site_fract_y
_atom_site_fract_z
Mg1 Mg 0.0000 0.0000 0.0000
Tc1 Tc 0.0000 0.0000 0.4877
Tc2 Tc 0.0000 0.5000 0.2655
Cl1 Cl 0.0000 0.5000 0.7848
```

Summary:
**Distance to the lowest polymorph of the same formula**: 1.28 eV per formula unit
**Raw total energy**: -47.1 eV for the cell shown
**Uncorrected formation energy**: 0.6 eV/f.u.

(7)
MgTc2Cl: relaxed, PBE.

CIF file:
```
data_MgTc2Cl
_chemical_formula_sum 'Mg4 Tc8 Cl4'
_cell_length_a 7.3016
_cell_length_b 7.3016
_cell_length_c 5.0060
_cell_angle_alpha 90.00
_cell_angle_beta 90.00
_cell_angle_gamma 90.00
_symmetry_space_group_name_H-M 'I -4 2 d'
_symmetry_Int_Tables_number 122
_symmetry_space_group_name_Hall 'I -4 2bw'
loop_
_atom_site_label
_atom_site_type_symbol
_atom_site_fract_x
_atom_site_fract_y
_atom_site_fract_z
Mg1 Mg 0.0000 0.0000 0.0000
Tc1 Tc 0.1629 0.7500 0.6250
Cl1 Cl 0.0000 0.0000 0.5000
```

Summary:
**Distance to the lowest polymorph of the same formula**: 3.82 eV per formula unit
**Raw total energy**: -84.1 eV for the cell shown
**Uncorrected formation energy**: 3.1 eV/f.u.

(8)
MgTcCl2: relaxed, PBE.

CIF file:
```
data_MgTcCl2
_chemical_formula_sum 'Mg2 Tc2 Cl4'
_cell_length_a 13.0828
_cell_length_b 3.2082
_cell_length_c 4.9527
_cell_angle_alpha 90.00
_cell_angle_beta 95.29
_cell_angle_gamma 90.00
_symmetry_space_group_name_H-M 'C 1 2/m 1'
_symmetry_Int_Tables_number 12
_symmetry_space_group_name_Hall '-C 2y'
loop_
_atom_site_label
_atom_site_type_symbol
_atom_site_fract_x
_atom_site_fract_y
_atom_site_fract_z
Mg1 Mg 0.0000 0.0000 0.0000
Tc1 Tc 0.0000 0.5000 0.5000
Cl1 Cl 0.1353 0.5000 0.2103
```

Summary:
**Distance to the lowest polymorph of the same formula**: 0.62 eV per formula unit
**Raw total energy**: -33.0 eV for the cell shown
**Uncorrected formation energy**: -0.9 eV/f.u.

(9)
MgTcCl2: relaxed, PBE.

CIF file:
```
data_MgTcCl2
_chemical_formula_sum 'Mg2 Tc2 Cl4'
_cell_length_a 3.2818
_cell_length_b 5.5078
_cell_length_c 9.4328
_cell_angle_alpha 90.00
_cell_angle_beta 90.00
_cell_angle_gamma 90.00
_symmetry_space_group_name_H-M 'C m m 2'
_symmetry_Int_Tables_number 35
_symmetry_space_group_name_Hall 'C 2 -2'
loop_
_atom_site_label
_atom_site_type_symbol
_atom_site_fract_x
_atom_site_fract_y
_atom_site_fract_z
Mg1 Mg 0.0000 0.0000 0.0000
Tc1 Tc 0.0000 0.5000 0.2493
Cl1 Cl 0.0000 0.0000 0.4322
Cl2 Cl 0.0000 0.5000 0.8226
```

Summary:
**Distance to the lowest polymorph of the same formula**: 0.35 eV per formula unit
**Raw total energy**: -33.6 eV for the cell shown
**Uncorrected formation energy**: -1.1 eV/f.u.

(10)
MgTcCl2: relaxed, PBE.

CIF file:
```
data_MgTcCl2
_chemical_formula_sum 'Mg3 Tc3 Cl6'
_cell_length_a 3.3706
_cell_length_b 3.3706
_cell_length_c 33.3666
_cell_angle_alpha 90.00
_cell_angle_beta 90.00
_cell_angle_gamma 120.00
_symmetry_space_group_name_H-M 'R -3 m'
_symmetry_Int_Tables_number 166
_symmetry_space_group_name_Hall '-R 3 2"'
loop_
_atom_site_label
_atom_site_type_symbol
_atom_site_fract_x
_atom_site_fract_y
_atom_site_fract_z
Mg1 Mg 0.0000 0.0000 0.0000
Tc1 Tc 0.0000 0.0000 0.5000
Cl1 Cl 0.0000 0.0000 0.2889
```

Summary:
**Distance to the lowest polymorph of the same formula**: 0.63 eV per formula unit
**Raw total energy**: -49.5 eV for the cell shown
**Uncorrected formation energy**: -0.8 eV/f.u.

(11)
MgTc2Cl: relaxed, PBE.

CIF file:
```
data_MgTc2Cl
_chemical_formula_sum 'Mg2 Tc4 Cl2'
_cell_length_a 3.4974
_cell_length_b 3.4974
_cell_length_c 12.4724
_cell_angle_alpha 90.00
_cell_angle_beta 90.00
_cell_angle_gamma 90.00
_symmetry_space_group_name_H-M 'I 4/m m m'
_symmetry_Int_Tables_number 139
_symmetry_space_group_name_Hall '-I 4 2'
loop_
_atom_site_label
_atom_site_type_symbol
_atom_site_fract_x
_atom_site_fract_y
_atom_site_fract_z
Mg1 Mg 0.0000 0.0000 0.0000
Tc1 Tc 0.0000 0.5000 0.2500
Cl1 Cl 0.0000 0.0000 0.5000
```

Summary:
**Distance to the lowest polymorph of the same formula**: 2.55 eV per formula unit
**Raw total energy**: -44.6 eV for the cell shown
**Uncorrected formation energy**: 1.9 eV/f.u.

(12)
Mg2Tc2Cl: relaxed, PBE.

CIF file:
```
data_Mg2Tc2Cl
_chemical_formula_sum 'Mg4 Tc4 Cl2'
_cell_length_a 8.1513
_cell_length_b 8.1513
_cell_length_c 3.0047
_cell_angle_alpha 90.00
_cell_angle_beta 90.00
_cell_angle_gamma 90.00
_symmetry_space_group_name_H-M 'P 4/m b m'
_symmetry_Int_Tables_number 127
_symmetry_space_group_name_Hall '-P 4 2ab'
loop_
_atom_site_label
_atom_site_type_symbol
_atom_site_fract_x
_atom_site_fract_y
_atom_site_fract_z
Mg1 Mg 0.1900 0.3100 0.0000
Tc1 Tc 0.0955 0.5955 0.5000
Cl1 Cl 0.0000 0.0000 0.0000
```

Summary:
**Distance to the lowest polymorph of the same formula**: 2.24 eV per formula unit
**Raw total energy**: -46.9 eV for the cell shown
**Uncorrected formation energy**: 2.3 eV/f.u.

Please write out number 6 again, unchanged.
MgTc2Cl: relaxed, PBE.

CIF file:
```
data_MgTc2Cl
_chemical_formula_sum 'Mg2 Tc4 Cl2'
_cell_length_a 3.1137
_cell_length_b 4.9638
_cell_length_c 8.6715
_cell_angle_alpha 90.00
_cell_angle_beta 90.00
_cell_angle_gamma 90.00
_symmetry_space_group_name_H-M 'C m m 2'
_symmetry_Int_Tables_number 35
_symmetry_space_group_name_Hall 'C 2 -2'
loop_
_atom_site_label
_atom_site_type_symbol
_atom_site_fract_x
_atom_site_fract_y
_atom_site_fract_z
Mg1 Mg 0.0000 0.0000 0.0000
Tc1 Tc 0.0000 0.0000 0.4877
Tc2 Tc 0.0000 0.5000 0.2655
Cl1 Cl 0.0000 0.5000 0.7848
```

Summary:
**Distance to the lowest polymorph of the same formula**: 1.28 eV per formula unit
**Raw total energy**: -47.1 eV for the cell shown
**Uncorrected formation energy**: 0.6 eV/f.u.

- Which of these has the lowest raw total energy?
  number 7

- Which value of raw total energy does entry 12 give?
  -46.9 eV for the cell shown